[1]
Computed, not measured: a relaxed structure of BeGaAs2 at the PBE level of DFT.

Results
energy	-3.792	eV per atom
formation energy from the elements	221	meV/atom
DOS at the Fermi energy	0.25	states/eV/atom

Lattice parameters (Å, degrees): 3.392 3.392 7.843 77.51 77.51 60.00
Sites, in units of the cell vectors:
Be 0.500 0.500 0.500
As 0.112 0.112 0.665
As 0.888 0.888 0.335
Ga 0.000 0.000 0.000

---

[2]
Computed, not measured: a relaxed structure of BeGa3As4 at the PBE level of DFT.

Results
energy	-4.176	eV per atom
formation energy from the elements	-251	meV/atom
DOS at the Fermi energy	0.32	states/eV/atom

Lattice parameters (Å, degrees): 6.557 6.791 7.850 90.00 90.00 90.00
Sites, in units of the cell vectors:
Be 0.999 0.168 0.000
Be 0.499 0.832 0.500
Ga 0.500 0.837 0.000
Ga 0.998 0.668 0.250
Ga 0.498 0.332 0.250
Ga 0.000 0.163 0.500
Ga 0.498 0.332 0.750
Ga 0.998 0.668 0.750
As 0.122 0.857 0.000
As 0.655 0.170 0.000
As 0.121 0.323 0.234
As 0.621 0.677 0.266
As 0.155 0.830 0.500
As 0.622 0.143 0.500
As 0.621 0.677 0.734
As 0.121 0.323 0.766

---

[3]
Computed, not measured: a relaxed structure of BeGa2As at the PBE level of DFT.

Results
energy	-3.168	eV per atom
formation energy from the elements	439	meV/atom
DOS at the Fermi energy	0.52	states/eV/atom

Lattice parameters (Å, degrees): 4.576 4.576 4.576 60.00 60.00 60.00
Sites, in units of the cell vectors:
Be 0.000 0.000 0.000
As 0.500 0.500 0.500
Ga 0.250 0.250 0.250
Ga 0.750 0.750 0.750

---

[4]
Computed, not measured: a relaxed structure of BeGa2As2 at the PBE level of DFT.

Results
energy	-3.563	eV per atom
formation energy from the elements	253	meV/atom
DOS at the Fermi energy	0.32	states/eV/atom

Lattice parameters (Å, degrees): 6.918 6.918 4.000 90.00 90.00 90.00
Sites, in units of the cell vectors:
Be 0.000 0.000 0.000
Be 0.500 0.500 0.000
As 0.290 0.790 0.000
As 0.790 0.710 0.000
As 0.710 0.210 0.000
As 0.210 0.290 0.000
Ga 0.128 0.628 0.500
Ga 0.628 0.872 0.500
Ga 0.872 0.372 0.500
Ga 0.372 0.128 0.500

---

[5]
Computed, not measured: a relaxed structure of BeGaAs at the PBE level of DFT.

Results
energy	-3.777	eV per atom
formation energy from the elements	24	meV/atom
DOS at the Fermi energy	0.20	states/eV/atom

Lattice parameters (Å, degrees): 3.799 4.966 6.416 115.47 90.00 90.00
Sites, in units of the cell vectors:
As 0.250 0.974 0.762
As 0.750 0.026 0.238
Ga 0.250 0.382 0.191
Ga 0.750 0.618 0.809
Be 0.750 0.105 0.620
Be 0.250 0.895 0.380

---

[6]
Computed, not measured: a relaxed structure of Be2GaAsI at the PBE level of DFT.

Results
energy	-2.806	eV per atom
formation energy from raw total energies	0.53	eV/atom
DOS at the Fermi energy	0.39	states/eV/atom

Lattice parameters (Å, degrees): 4.288 10.130 4.288 90.00 90.00 90.00
Sites, in units of the cell vectors:
I 0.000 0.500 0.000
Be 0.000 0.000 0.500
Be 0.500 0.000 0.000
As 0.000 0.000 0.000
Ga 0.500 0.500 0.500

---

[7]
Computed, not measured: a relaxed structure of BeGaAsIr2 at the PBE level of DFT.

Results
energy	-5.402	eV per atom
formation energy from the elements	423	meV/atom
DOS at the Fermi energy	0.54	states/eV/atom

Lattice parameters (Å, degrees): 4.292 4.111 4.292 90.00 90.00 90.00
Sites, in units of the cell vectors:
Be 0.000 0.000 0.000
As 0.000 0.500 0.000
Ir 0.000 0.000 0.500
Ir 0.500 0.000 0.000
Ga 0.500 0.500 0.500

---

[8]
Computed, not measured: a relaxed structure of KBeGa2As at the PBE level of DFT.

Results
energy	-2.733	eV per atom
formation energy from the elements	372	meV/atom
DOS at the Fermi energy	0.50	states/eV/atom

Lattice parameters (Å, degrees): 5.857 4.060 5.857 90.00 90.00 90.00
Sites, in units of the cell vectors:
Be 0.000 0.500 0.000
As 0.000 0.000 0.000
K 0.500 0.500 0.500
Ga 0.000 0.000 0.500
Ga 0.500 0.000 0.000

---

[9]
Computed, not measured: a relaxed structure of K2BeGaAs2 at the PBE level of DFT.

Results
energy	-3.352	eV per atom
formation energy from the elements	-311	meV/atom
DOS at the Fermi energy	0.22	states/eV/atom

Lattice parameters (Å, degrees): 6.348 6.247 8.718 111.00 111.35 90.00
Sites, in units of the cell vectors:
K 0.409 0.169 0.339
K 0.591 0.831 0.661
K 0.070 0.331 0.661
K 0.930 0.669 0.339
Be 0.500 0.750 0.000
Be 0.500 0.250 0.000
Ga 0.000 0.750 0.000
Ga 0.000 0.250 0.000
As 0.800 0.085 0.171
As 0.371 0.585 0.171
As 0.629 0.415 0.829
As 0.200 0.915 0.829

---

[10]
Computed, not measured: a relaxed structure of LiBe2GaAs at the PBE level of DFT.

Results
energy	-2.984	eV per atom
formation energy from the elements	424	meV/atom
DOS at the Fermi energy	0.36	states/eV/atom

Lattice parameters (Å, degrees): 4.269 4.789 4.269 90.00 90.00 90.00
Sites, in units of the cell vectors:
Be 0.000 0.000 0.500
Be 0.500 0.000 0.000
As 0.000 0.000 0.000
Ga 0.500 0.500 0.500
Li 0.000 0.500 0.000